Mg2HgSb: relaxed, PBE.

energy above the lowest structure with this stoichiometry: 0.11 eV/f.u.
raw formation energy: -189 meV per atom
electronic total energy: -0.1538 Ry/atom

Cell lengths 3.352, 3.975, 6.926 Å; angles 90.00, 91.63, 90.00 degrees
Space group P2/m (No. 10)
One atom of each set of equivalent atoms:
Mg (0.002, 0.000, 0.257)
Hg (0.500, 0.500, 0.500)
Sb (0.500, 0.500, 0.000)